(1)
Compound: SrCaY2Os
Source: Alexandria via LeMat-Bulk
Functional: PBE-GGA
Structure: optimized geometry

energy: -5.4831 eV per atom
magnetic moment: 0.000 μB/atom
relative energy among the computed polymorphs: 0.076 eV/atom
ρ: 4626 kg/m3
formation energy: 0.085 eV/atom

Cell and atoms, written as extended XYZ:
```
5
Lattice="5.459 0.000 0.000 0.000 5.459 0.000 0.000 0.000 5.972" Properties=species:S:1:pos:R:3 pbc="T T T"
Sr 0.000 0.000 2.986
Y 0.000 2.729 0.000
Y 2.729 0.000 0.000
Ca 2.729 2.729 2.986
Os 0.000 0.000 0.000
```

(2)
Compound: CaTa3Os
Source: Alexandria via LeMat-Bulk
Functional: PBE-GGA
Structure: optimized geometry

energy: -6.9588 eV per atom
magnetic moment: 0.000 μB/atom
relative energy among the computed polymorphs: 1.895 eV/atom
ρ: 13365 kg/m3
formation energy: 2.799 eV/atom

Cell and atoms, written as extended XYZ:
```
5
Lattice="4.580 0.000 0.000 0.000 4.580 0.000 0.000 0.000 4.580" Properties=species:S:1:pos:R:3 pbc="T T T"
Ta 0.000 2.290 0.000
Ta 0.000 0.000 2.290
Ta 2.290 0.000 0.000
Ca 0.000 0.000 0.000
Os 2.290 2.290 2.290
```

(3)
Compound: Ca2TaOs2
Source: Alexandria via LeMat-Bulk
Functional: PBE-GGA
Structure: optimized geometry

energy: -6.7904 eV per atom
magnetic moment: 0.000 μB/atom
relative energy among the computed polymorphs: 0.000 eV/atom
ρ: 8766 kg/m3
formation energy: 0.873 eV/atom

Cell and atoms, written as extended XYZ:
```
5
Lattice="3.464 0.000 0.000 0.000 3.464 0.000 1.732 1.732 10.130" Properties=species:S:1:pos:R:3 pbc="T T T"
Ca 3.464 3.464 7.729
Ca 1.732 1.732 2.401
Ta 0.000 0.000 0.000
Os 1.732 3.464 5.065
Os 3.464 1.732 5.065
```

(4)
Compound: CaTaOs
Source: Alexandria via LeMat-Bulk
Functional: PBE-GGA
Structure: optimized geometry

energy: -8.1688 eV per atom
magnetic moment: 0.005 μB/atom
relative energy among the computed polymorphs: 0.000 eV/atom
ρ: 10536 kg/m3
formation energy: 0.193 eV/atom

Cell and atoms, written as extended XYZ:
```
3
Lattice="-3.182 -1.569 -5.473 -0.050 -1.435 -6.362 0.110 -3.256 -0.101" Properties=species:S:1:pos:R:3 pbc="T T T"
Os -0.916 -3.179 -3.703
Ca -3.186 -3.008 -11.676
Ta -2.251 -3.078 -8.394
```

Q: Which value of ρ does entry 3 give?
A: 8766 kg/m3